A geometry-optimized KB3F structure, computed with PBE.

Geometry as CIF:
```
data_KB3F
_chemical_formula_sum 'K1 B3 F1'
_cell_length_a 4.396
_cell_length_b 4.396
_cell_length_c 4.396
_cell_angle_alpha 90.00
_cell_angle_beta 90.00
_cell_angle_gamma 90.00
_space_group_name_H-M_alt 'P 1'
_space_group_IT_number 1
loop_
_space_group_symop_operation_xyz
'x,y,z'
loop_
_atom_site_label
_atom_site_fract_x
_atom_site_fract_y
_atom_site_fract_z
_atom_site_occupancy
B1 0.000 0.000 0.500 1
B2 0.500 0.000 0.000 1
F1 0.000 0.000 0.000 1
B3 0.000 0.500 0.000 1
K1 0.500 0.500 0.500 1
```

## Properties
size of the total moment = 0.000 μB per atom
E_form (uncorrected) = 1957.8 meV per atom
ΔE to the lowest computed polymorph = 0 meV per atom
N(E_F) = 2.59 states/eV/f.u.